This record from Alexandria via LeMat-Bulk describes crystalline Na2MnCuCl6 at its relaxed geometry. The functional is GGA-PBE.

- Raw total energy: -3.88 eV per atom
- Uncorrected formation energy: -1.186 eV per atom
- Space group: P1, No. 1
- Mass density: 2.54 g cm⁻³

Cell: 6.704 6.690 7.434 Å, 63.18 63.11 59.97°
Last column: magnetic moment on the atom in μB.
Fractional positions:
Cl (0.107, 0.448, 0.752)  -0.02
Cl (0.447, 0.692, 0.753)  -0.02
Cl (0.573, 0.242, 0.206)  0.03
Cl (0.691, 0.107, 0.754)  -0.02
Cl (0.241, 0.980, 0.206)  0.03
Cl (0.980, 0.573, 0.206)  0.03
Na (0.532, 0.532, 0.405)  0.00
Na (0.014, 0.014, 0.959)  0.00
Mn (0.330, 0.330, 0.010)  3.87
Cu (0.745, 0.745, 0.764)  -0.19